<w>
A relaxed LiNdAs crystal, computed with PBE-GGA.

Cell lengths 6.305, 6.305, 6.305 Å; angles 90.00, 90.00, 90.00 degrees
Space group F-43m (No. 216)
One atom of each set of equivalent atoms:
1 Li 0.000 0.000 0.000
2 Nd 0.250 0.250 0.250
3 As 0.250 0.250 0.750

- Calculated density: 6.0 g/cm3
- Crystal system: cubic


<x>
A relaxed LiNdAs crystal, computed with PBE-GGA.

Cell lengths 6.816, 6.816, 6.816 Å; angles 90.00, 90.00, 90.00 degrees
Space group F-43m (No. 216)
One atom of each set of equivalent atoms:
1 Li 0.000 0.000 0.000
2 Nd 0.250 0.250 0.750
3 As 0.000 0.000 0.500

- Calculated density: 4.7 g/cm3
- Crystal system: cubic


Which of them is the most stable, and which is the least stable? <w> and <x>, in that order.


<w>
A relaxed LiNdAsO crystal, computed with PBE-GGA.

Cell lengths 5.950, 5.950, 4.717 Å; angles 90.00, 90.00, 90.00 degrees
Space group P4/nmm (No. 129, origin choice 2)
One atom of each set of equivalent atoms:
1 Li 0.250 0.250 0.002
2 Nd 0.250 0.750 0.500
3 As 0.250 0.250 0.502
4 O 0.250 0.750 0.000

- Calculated density: 4.8 g/cm3
- Crystal system: tetragonal


<x>
A relaxed LiNdAsO crystal, computed with PBE-GGA.

Cell lengths 3.919, 3.919, 9.914 Å; angles 90.00, 90.00, 90.00 degrees
Space group P4/nmm (No. 129, origin choice 2)
One atom of each set of equivalent atoms:
1 Li 0.250 0.750 0.000
2 Nd 0.250 0.250 0.375
3 As 0.250 0.250 0.820
4 O 0.250 0.750 0.500

- Calculated density: 5.3 g/cm3
- Crystal system: tetragonal


Which of them is the most stable, and which is the least stable? <x> and <w>, in that order.


<w>
A relaxed LiNdAsO crystal, computed with PBE-GGA.

Cell lengths 3.870, 6.765, 5.718 Å; angles 90.00, 90.00, 90.00 degrees
Space group Pmc2_1 (No. 26)
One atom of each set of equivalent atoms:
1 Li 0.000 0.182 0.000
2 Nd 0.500 0.227 0.551
3 As 0.000 0.486 0.277
4 O 0.500 0.083 0.913

- Calculated density: 5.4 g/cm3
- Crystal system: orthorhombic


<x>
A relaxed LiNdAsO crystal, computed with PBE-GGA.

Cell lengths 4.535, 4.535, 7.440 Å; angles 90.00, 90.00, 90.00 degrees
Space group P4/nmm (No. 129, origin choice 2)
One atom of each set of equivalent atoms:
1 Li 0.250 0.250 0.066
2 Nd 0.250 0.750 0.500
3 As 0.250 0.250 0.740
4 O 0.250 0.750 0.000

- Calculated density: 5.3 g/cm3
- Crystal system: tetragonal


Which of them is the most stable, and which is the least stable? <w> and <x>, in that order.


<w>
A relaxed LiAsOsO crystal, computed with PBE-GGA.

Cell lengths 3.755, 3.755, 8.079 Å; angles 90.00, 90.00, 90.00 degrees
Space group P4/nmm (No. 129, origin choice 2)
One atom of each set of equivalent atoms:
1 Li 0.250 0.250 0.055
2 As 0.250 0.250 0.714
3 Os 0.250 0.750 0.500
4 O 0.250 0.750 0.000

- Calculated density: 8.4 g/cm3
- Crystal system: tetragonal


<x>
A relaxed LiAsOsO crystal, computed with PBE-GGA.

Cell lengths 3.406, 3.406, 8.756 Å; angles 90.00, 90.00, 90.00 degrees
Space group P4/nmm (No. 129, origin choice 2)
One atom of each set of equivalent atoms:
1 Li 0.250 0.750 0.000
2 As 0.250 0.250 0.215
3 Os 0.250 0.250 0.654
4 O 0.250 0.750 0.500

- Calculated density: 9.4 g/cm3
- Crystal system: tetragonal


Which of them is the most stable, and which is the least stable? <w> and <x>, in that order.


<w>
A relaxed LiAsOsO crystal, computed with PBE-GGA.

Cell lengths 3.871, 4.754, 6.084 Å; angles 90.00, 90.00, 90.00 degrees
Space group Pmc2_1 (No. 26)
One atom of each set of equivalent atoms:
1 Li 0.000 0.229 0.000
2 As 0.500 0.360 0.691
3 Os 0.500 0.150 0.327
4 O 0.000 0.120 0.316

- Calculated density: 8.5 g/cm3
- Crystal system: orthorhombic


<x>
A relaxed LiAsOsO crystal, computed with PBE-GGA.

Cell lengths 3.047, 6.550, 5.793 Å; angles 90.00, 90.00, 90.00 degrees
Space group Pmc2_1 (No. 26)
One atom of each set of equivalent atoms:
1 Li 0.000 0.124 0.000
2 As 0.000 0.277 0.488
3 Os 0.500 0.498 0.738
4 O 0.500 0.279 0.989

- Calculated density: 8.3 g/cm3
- Crystal system: orthorhombic


Which of them is the most stable, and which is the least stable? <x> and <w>, in that order.


<w>
A relaxed LiAsPdO crystal, computed with PBE-GGA.

Cell lengths 3.633, 3.633, 8.196 Å; angles 90.00, 90.00, 90.00 degrees
Space group P4/nmm (No. 129, origin choice 2)
One atom of each set of equivalent atoms:
1 Li 0.250 0.750 0.000
2 As 0.250 0.250 0.227
3 Pd 0.250 0.250 0.656
4 O 0.250 0.750 0.500

- Calculated density: 6.3 g/cm3
- Crystal system: tetragonal


<x>
A relaxed LiAsPdO crystal, computed with PBE-GGA.

Cell lengths 3.898, 3.898, 6.722 Å; angles 90.00, 90.00, 90.00 degrees
Space group P4/nmm (No. 129, origin choice 2)
One atom of each set of equivalent atoms:
1 Li 0.250 0.250 0.110
2 As 0.250 0.250 0.750
3 Pd 0.250 0.750 0.500
4 O 0.250 0.750 0.000

- Calculated density: 6.6 g/cm3
- Crystal system: tetragonal


<y>
A relaxed LiAsPdO crystal, computed with PBE-GGA.

Cell lengths 3.881, 5.922, 5.402 Å; angles 90.00, 90.00, 90.00 degrees
Space group Pmc2_1 (No. 26)
One atom of each set of equivalent atoms:
1 Li 0.000 0.099 0.000
2 As 0.500 0.341 0.803
3 Pd 0.500 0.253 0.354
4 O 0.000 0.173 0.331

- Calculated density: 5.5 g/cm3
- Crystal system: orthorhombic


<z>
A relaxed LiAsPdO crystal, computed with PBE-GGA.

Cell lengths 3.561, 7.135, 4.493 Å; angles 90.00, 90.00, 90.00 degrees
Space group Pmc2_1 (No. 26)
One atom of each set of equivalent atoms:
1 Li 0.000 0.172 0.000
2 As 0.000 0.416 0.501
3 Pd 0.500 0.181 0.501
4 O 0.500 0.125 0.001

- Calculated density: 5.9 g/cm3
- Crystal system: orthorhombic


Which of them is the most stable, and which is the least stable? <z> and <w>, in that order.


<w>
A relaxed LiReAsO crystal, computed with PBE-GGA.

Cell lengths 3.696, 3.696, 8.446 Å; angles 90.00, 90.00, 90.00 degrees
Space group P4/nmm (No. 129, origin choice 2)
One atom of each set of equivalent atoms:
1 Li 0.250 0.250 0.058
2 Re 0.250 0.750 0.500
3 As 0.250 0.250 0.719
4 O 0.250 0.750 0.000

- Calculated density: 8.2 g/cm3
- Crystal system: tetragonal


<x>
A relaxed LiReAsO crystal, computed with PBE-GGA.

Cell lengths 3.361, 3.361, 8.923 Å; angles 90.00, 90.00, 90.00 degrees
Space group P4/nmm (No. 129, origin choice 2)
One atom of each set of equivalent atoms:
1 Li 0.250 0.750 0.000
2 Re 0.250 0.250 0.351
3 As 0.250 0.250 0.789
4 O 0.250 0.750 0.500

- Calculated density: 9.4 g/cm3
- Crystal system: tetragonal


<y>
A relaxed LiReAsO crystal, computed with PBE-GGA.

Cell lengths 3.909, 5.769, 4.929 Å; angles 90.00, 90.00, 90.00 degrees
Space group Pmc2_1 (No. 26)
One atom of each set of equivalent atoms:
1 Li 0.000 0.113 0.000
2 Re 0.500 0.221 0.368
3 As 0.500 0.350 0.864
4 O 0.000 0.197 0.371

- Calculated density: 8.5 g/cm3
- Crystal system: orthorhombic


Which of them is the most stable, and which is the least stable? <y> and <x>, in that order.


<w>
A relaxed LiSmAsO crystal, computed with PBE-GGA.

Cell lengths 3.612, 7.624, 5.938 Å; angles 90.00, 90.00, 90.00 degrees
Space group Pmc2_1 (No. 26)
One atom of each set of equivalent atoms:
1 Li 0.000 0.075 0.000
2 Sm 0.500 0.292 0.366
3 As 0.500 0.321 0.862
4 O 0.000 0.135 0.324

- Calculated density: 5.0 g/cm3
- Crystal system: orthorhombic


<x>
A relaxed LiSmAsO crystal, computed with PBE-GGA.

Cell lengths 4.633, 4.633, 7.074 Å; angles 90.00, 90.00, 90.00 degrees
Space group P4/nmm (No. 129, origin choice 2)
One atom of each set of equivalent atoms:
1 Li 0.250 0.250 0.064
2 Sm 0.250 0.750 0.500
3 As 0.250 0.250 0.724
4 O 0.250 0.750 0.000

- Calculated density: 5.4 g/cm3
- Crystal system: tetragonal


<y>
A relaxed LiSmAsO crystal, computed with PBE-GGA.

Cell lengths 3.890, 3.890, 9.729 Å; angles 90.00, 90.00, 90.00 degrees
Space group P4/nmm (No. 129, origin choice 2)
One atom of each set of equivalent atoms:
1 Li 0.250 0.750 0.000
2 Sm 0.250 0.250 0.377
3 As 0.250 0.250 0.818
4 O 0.250 0.750 0.500

- Calculated density: 5.6 g/cm3
- Crystal system: tetragonal


Which of them is the most stable, and which is the least stable? <y> and <x>, in that order.


<w>
A relaxed LiSmAsO crystal, computed with PBE-GGA.

Cell lengths 3.857, 6.601, 5.742 Å; angles 90.00, 90.00, 90.00 degrees
Space group Pmc2_1 (No. 26)
One atom of each set of equivalent atoms:
1 Li 0.000 0.175 0.000
2 Sm 0.500 0.231 0.558
3 As 0.000 0.482 0.282
4 O 0.500 0.075 0.905

- Calculated density: 5.6 g/cm3
- Crystal system: orthorhombic


<x>
A relaxed LiSmAsO crystal, computed with PBE-GGA.

Cell lengths 5.861, 5.861, 4.675 Å; angles 90.00, 90.00, 90.00 degrees
Space group P4/nmm (No. 129, origin choice 2)
One atom of each set of equivalent atoms:
1 Li 0.250 0.250 0.001
2 Sm 0.250 0.750 0.500
3 As 0.250 0.250 0.501
4 O 0.250 0.750 0.000

- Calculated density: 5.1 g/cm3
- Crystal system: tetragonal


<y>
A relaxed LiSmAsO crystal, computed with PBE-GGA.

Cell lengths 3.862, 3.862, 9.874 Å; angles 90.00, 90.00, 90.00 degrees
Space group P4/nmm (No. 129, origin choice 2)
One atom of each set of equivalent atoms:
1 Li 0.250 0.750 0.000
2 Sm 0.250 0.250 0.378
3 As 0.250 0.250 0.817
4 O 0.250 0.750 0.500

- Calculated density: 5.6 g/cm3
- Crystal system: tetragonal


Which of them is the most stable, and which is the least stable? <y> and <x>, in that order.